1.
# LiHg3GeTe4

LiHg3GeTe4 after structural relaxation (GGA-PBE, OQMD).

Output
space group: P2_1/m (11)
volume: 667.0 Å³/cell
offset from the most stable computed form: 0.0179 eV/atom

Unit cell a=6.829 b=8.793 c=11.259 alpha=90.00 beta=99.37 gamma=90.00
Fractional positions:
Li: 0.155 0.250 0.207
Li: 0.845 0.750 0.793
Hg: 0.273 0.015 0.548
Hg: 0.273 0.485 0.548
Hg: 0.426 0.250 0.852
Hg: 0.574 0.750 0.148
Hg: 0.727 0.515 0.452
Hg: 0.727 0.985 0.452
Ge: 0.083 0.750 0.281
Ge: 0.917 0.250 0.719
Te: 0.009 0.750 0.573
Te: 0.092 0.250 0.956
Te: 0.367 0.522 0.271
Te: 0.367 0.978 0.271
Te: 0.633 0.022 0.729
Te: 0.633 0.478 0.729
Te: 0.908 0.750 0.044
Te: 0.991 0.250 0.427



2.
# HfTlAgSe3

HfTlAgSe3 after structural relaxation (GGA-PBE, OQMD).

Output
space group: Pnma (62)
volume: 614.9 Å³/cell
offset from the most stable computed form: 0.0000 eV/atom

Unit cell a=14.534 b=3.935 c=10.752 alpha=90.00 beta=90.00 gamma=90.00
Fractional positions:
Hf: 0.016 0.250 0.169
Hf: 0.484 0.750 0.669
Hf: 0.516 0.250 0.331
Hf: 0.984 0.750 0.831
Tl: 0.228 0.250 0.458
Tl: 0.272 0.750 0.958
Tl: 0.728 0.250 0.042
Tl: 0.772 0.750 0.542
Ag: 0.022 0.750 0.407
Ag: 0.478 0.250 0.907
Ag: 0.522 0.750 0.093
Ag: 0.978 0.250 0.593
Se: 0.090 0.250 0.933
Se: 0.101 0.750 0.644
Se: 0.139 0.750 0.221
Se: 0.361 0.250 0.721
Se: 0.399 0.250 0.144
Se: 0.410 0.750 0.433
Se: 0.590 0.250 0.567
Se: 0.601 0.750 0.856
Se: 0.639 0.750 0.279
Se: 0.861 0.250 0.779
Se: 0.899 0.250 0.356
Se: 0.910 0.750 0.067



3.
# AcTlMo

AcTlMo after structural relaxation (GGA-PBE, OQMD).

Output
space group: F-43m (216)
volume: 374.9 Å³/cell
offset from the most stable computed form: 0.0000 eV/atom

Unit cell a=7.211 b=7.211 c=7.211 alpha=90.00 beta=90.00 gamma=90.00
Fractional positions:
Ac: 0.000 0.000 0.000
Ac: 0.000 0.500 0.500
Ac: 0.500 0.000 0.500
Ac: 0.500 0.500 0.000
Tl: 0.250 0.250 0.250
Tl: 0.250 0.750 0.750
Tl: 0.750 0.250 0.750
Tl: 0.750 0.750 0.250
Mo: 0.000 0.000 0.500
Mo: 0.000 0.500 0.000
Mo: 0.500 0.000 0.000
Mo: 0.500 0.500 0.500



4.
# CsThCuS3

CsThCuS3 after structural relaxation (GGA-PBE, OQMD).

Output
total DFT energy (no corrections): -5.56 eV/atom
space group: Cmcm (63)
volume: 334.9 Å³/cell

Unit cell a=7.929 b=7.929 c=10.625 alpha=90.00 beta=90.00 gamma=149.91
Fractional positions:
Cs: 0.241 0.759 0.750
Cs: 0.759 0.241 0.250
Th: 0.500 0.500 0.000
Th: 0.500 0.500 0.500
Cu: 0.034 0.966 0.250
Cu: 0.966 0.034 0.750
S: 0.116 0.884 0.064
S: 0.116 0.884 0.436
S: 0.446 0.554 0.250
S: 0.554 0.446 0.750
S: 0.884 0.116 0.564
S: 0.884 0.116 0.936



5.
# ReW3

ReW3 after structural relaxation (GGA-PBE, OQMD).

Output
space group: P6_3/mmc (194)
volume: 396.0 Å³/cell
formation enthalpy at 0 K: 36.46 kJ per mole of atoms
offset from the most stable computed form: 0.0380 eV/atom

Unit cell a=5.187 b=5.187 c=16.994 alpha=90.00 beta=90.00 gamma=120.00
Fractional positions:
Re: 0.000 0.500 0.000
Re: 0.000 0.500 0.500
Re: 0.500 0.000 0.000
Re: 0.500 0.000 0.500
Re: 0.500 0.500 0.000
Re: 0.500 0.500 0.500
W: 0.000 0.000 0.097
W: 0.000 0.000 0.403
W: 0.000 0.000 0.597
W: 0.000 0.000 0.903
W: 0.163 0.327 0.250
W: 0.163 0.837 0.250
W: 0.327 0.163 0.750
W: 0.333 0.667 0.123
W: 0.333 0.667 0.377
W: 0.333 0.667 0.648
W: 0.333 0.667 0.852
W: 0.667 0.333 0.148
W: 0.667 0.333 0.352
W: 0.667 0.333 0.623
W: 0.667 0.333 0.877
W: 0.673 0.837 0.250
W: 0.837 0.163 0.750
W: 0.837 0.673 0.750



6.
# Y2HoGa3AgIr2

Y2HoGa3AgIr2 after structural relaxation (GGA-PBE, OQMD).

Output
total DFT energy (no corrections): -5.95 eV/atom
space group: Amm2 (38)
volume: 179.3 Å³/cell

Unit cell a=3.866 b=7.302 c=7.302 alpha=119.58 beta=90.00 gamma=90.00
Fractional positions:
Y: 0.000 0.205 0.795
Y: 0.000 0.795 0.205
Ho: 0.000 0.615 0.615
Ga: 0.500 0.204 0.477
Ga: 0.500 0.477 0.204
Ga: 0.500 0.934 0.934
Ag: 0.000 0.208 0.208
Ir: 0.500 0.539 0.867
Ir: 0.500 0.867 0.539



7.
# Ba4AcCd5

Ba4AcCd5 after structural relaxation (GGA-PBE, OQMD).

Output
total DFT energy (no corrections): -1.96 eV/atom
space group: P4/mmm (123)
volume: 370.6 Å³/cell

Unit cell a=4.187 b=4.187 c=21.134 alpha=90.00 beta=90.00 gamma=90.00
Fractional positions:
Ba: 0.000 0.000 0.102
Ba: 0.000 0.000 0.305
Ba: 0.000 0.000 0.695
Ba: 0.000 0.000 0.898
Ac: 0.000 0.000 0.500
Cd: 0.500 0.500 0.000
Cd: 0.500 0.500 0.203
Cd: 0.500 0.500 0.410
Cd: 0.500 0.500 0.590
Cd: 0.500 0.500 0.797



8.
# CoTcGeMo

CoTcGeMo after structural relaxation (GGA-PBE, OQMD).

Output
space group: F-43m (216)
volume: 223.2 Å³/cell
offset from the most stable computed form: 0.0000 eV/atom

Unit cell a=6.066 b=6.066 c=6.066 alpha=90.00 beta=90.00 gamma=90.00
Fractional positions:
Co: 0.000 0.000 0.000
Co: 0.000 0.500 0.500
Co: 0.500 0.000 0.500
Co: 0.500 0.500 0.000
Tc: 0.000 0.000 0.500
Tc: 0.000 0.500 0.000
Tc: 0.500 0.000 0.000
Tc: 0.500 0.500 0.500
Ge: 0.250 0.250 0.750
Ge: 0.250 0.750 0.250
Ge: 0.750 0.250 0.250
Ge: 0.750 0.750 0.750
Mo: 0.250 0.250 0.250
Mo: 0.250 0.750 0.750
Mo: 0.750 0.250 0.750
Mo: 0.750 0.750 0.250



9.
# BaTlW

BaTlW after structural relaxation (GGA-PBE, OQMD).

Output
space group: F-43m (216)
volume: 395.2 Å³/cell
offset from the most stable computed form: 0.0000 eV/atom

Unit cell a=7.338 b=7.338 c=7.338 alpha=90.00 beta=90.00 gamma=90.00
Fractional positions:
Ba: 0.000 0.000 0.000
Ba: 0.000 0.500 0.500
Ba: 0.500 0.000 0.500
Ba: 0.500 0.500 0.000
Tl: 0.000 0.000 0.500
Tl: 0.000 0.500 0.000
Tl: 0.500 0.000 0.000
Tl: 0.500 0.500 0.500
W: 0.250 0.250 0.250
W: 0.250 0.750 0.750
W: 0.750 0.250 0.750
W: 0.750 0.750 0.250



10.
# AcCdAu

AcCdAu after structural relaxation (GGA-PBE, OQMD).

Output
space group: F-43m (216)
volume: 409.0 Å³/cell
formation enthalpy at 0 K: -14.93 kJ per mole of atoms
offset from the most stable computed form: 0.3926 eV/atom

Unit cell a=7.423 b=7.423 c=7.423 alpha=90.00 beta=90.00 gamma=90.00
Fractional positions:
Ac: 0.000 0.000 0.000
Ac: 0.000 0.500 0.500
Ac: 0.500 0.000 0.500
Ac: 0.500 0.500 0.000
Cd: 0.250 0.250 0.250
Cd: 0.250 0.750 0.750
Cd: 0.750 0.250 0.750
Cd: 0.750 0.750 0.250
Au: 0.250 0.250 0.750
Au: 0.250 0.750 0.250
Au: 0.750 0.250 0.250
Au: 0.750 0.750 0.750



11.
# NaSrCoMo

NaSrCoMo after structural relaxation (GGA-PBE, OQMD).

Output
space group: F-43m (216)
volume: 376.1 Å³/cell
offset from the most stable computed form: 0.3046 eV/atom

Unit cell a=7.218 b=7.218 c=7.218 alpha=90.00 beta=90.00 gamma=90.00
Fractional positions:
Na: 0.000 0.000 0.000
Na: 0.000 0.500 0.500
Na: 0.500 0.000 0.500
Na: 0.500 0.500 0.000
Sr: 0.000 0.000 0.500
Sr: 0.000 0.500 0.000
Sr: 0.500 0.000 0.000
Sr: 0.500 0.500 0.500
Co: 0.250 0.250 0.250
Co: 0.250 0.750 0.750
Co: 0.750 0.250 0.750
Co: 0.750 0.750 0.250
Mo: 0.250 0.250 0.750
Mo: 0.250 0.750 0.250
Mo: 0.750 0.250 0.250
Mo: 0.750 0.750 0.750



12.
# Tb3TmPb2C2

Tb3TmPb2C2 after structural relaxation (GGA-PBE, OQMD).

Output
total DFT energy (no corrections): -6.01 eV/atom
space group: P3m1 (156)
volume: 184.8 Å³/cell

Unit cell a=3.635 b=3.635 c=16.150 alpha=90.00 beta=90.00 gamma=120.00
Fractional positions:
Tb: 0.000 0.000 0.000
Tb: 0.000 0.000 0.336
Tb: 0.333 0.667 0.502
Tm: 0.333 0.667 0.836
Pb: 0.000 0.000 0.672
Pb: 0.333 0.667 0.168
C: 0.667 0.333 0.419
C: 0.667 0.333 0.916



13.
# AlAsIr

AlAsIr after structural relaxation (GGA-PBE, OQMD).

Output
total DFT energy (no corrections): -5.72 eV/atom
space group: F-43m (216)
volume: 207.9 Å³/cell

Unit cell a=5.924 b=5.924 c=5.924 alpha=90.00 beta=90.00 gamma=90.00
Fractional positions:
Al: 0.000 0.000 0.000
Al: 0.000 0.500 0.500
Al: 0.500 0.000 0.500
Al: 0.500 0.500 0.000
As: 0.250 0.250 0.750
As: 0.250 0.750 0.250
As: 0.750 0.250 0.250
As: 0.750 0.750 0.750
Ir: 0.250 0.250 0.250
Ir: 0.250 0.750 0.750
Ir: 0.750 0.250 0.750
Ir: 0.750 0.750 0.250



14.
# K2CdAgCl6

K2CdAgCl6 after structural relaxation (GGA-PBE, OQMD).

Output
total DFT energy (no corrections): -2.89 eV/atom
space group: Fm-3m (225)
volume: 274.8 Å³/cell

Unit cell a=7.297 b=7.297 c=7.297 alpha=60.00 beta=60.00 gamma=60.00
Fractional positions:
K: 0.250 0.250 0.250
K: 0.750 0.750 0.750
Cd: 0.000 0.000 0.000
Ag: 0.500 0.500 0.500
Cl: 0.251 0.251 0.749
Cl: 0.251 0.749 0.251
Cl: 0.251 0.749 0.749
Cl: 0.749 0.251 0.251
Cl: 0.749 0.251 0.749
Cl: 0.749 0.749 0.251



15.
# RbYCu

RbYCu after structural relaxation (GGA-PBE, OQMD).

Output
total DFT energy (no corrections): -2.41 eV/atom
space group: F-43m (216)
volume: 358.1 Å³/cell

Unit cell a=7.101 b=7.101 c=7.101 alpha=90.00 beta=90.00 gamma=90.00
Fractional positions:
Rb: 0.000 0.000 0.000
Rb: 0.000 0.500 0.500
Rb: 0.500 0.000 0.500
Rb: 0.500 0.500 0.000
Y: 0.250 0.250 0.250
Y: 0.250 0.750 0.750
Y: 0.750 0.250 0.750
Y: 0.750 0.750 0.250
Cu: 0.250 0.250 0.750
Cu: 0.250 0.750 0.250
Cu: 0.750 0.250 0.250
Cu: 0.750 0.750 0.750



16.
# NbCuHg

NbCuHg after structural relaxation (GGA-PBE, OQMD).

Output
space group: F-43m (216)
volume: 250.8 Å³/cell
formation enthalpy at 0 K: 78.25 kJ per mole of atoms
offset from the most stable computed form: 0.3888 eV/atom

Unit cell a=6.306 b=6.306 c=6.306 alpha=90.00 beta=90.00 gamma=90.00
Fractional positions:
Nb: 0.000 0.000 0.000
Nb: 0.000 0.500 0.500
Nb: 0.500 0.000 0.500
Nb: 0.500 0.500 0.000
Cu: 0.250 0.250 0.250
Cu: 0.250 0.750 0.750
Cu: 0.750 0.250 0.750
Cu: 0.750 0.750 0.250
Hg: 0.250 0.250 0.750
Hg: 0.250 0.750 0.250
Hg: 0.750 0.250 0.250
Hg: 0.750 0.750 0.750



17.
# TbHoNi2Sn

TbHoNi2Sn after structural relaxation (GGA-PBE, OQMD).

Output
total DFT energy (no corrections): -5.48 eV/atom
space group: Amm2 (38)
volume: 200.1 Å³/cell

Unit cell a=3.618 b=3.993 c=13.850 alpha=90.00 beta=90.00 gamma=90.00
Fractional positions:
Tb: 0.000 0.000 0.000
Tb: 0.000 0.500 0.500
Ho: 0.000 0.000 0.726
Ho: 0.000 0.500 0.226
Ni: 0.500 0.000 0.165
Ni: 0.500 0.000 0.561
Ni: 0.500 0.500 0.061
Ni: 0.500 0.500 0.665
Sn: 0.500 0.000 0.363
Sn: 0.500 0.500 0.863



18.
# TbGdEr

TbGdEr after structural relaxation (GGA-PBE, OQMD).

Output
space group: F-43m (216)
volume: 444.9 Å³/cell
formation enthalpy at 0 K: 69.12 kJ per mole of atoms

Unit cell a=7.634 b=7.634 c=7.634 alpha=90.00 beta=90.00 gamma=90.00
Fractional positions:
Tb: 0.000 0.000 0.000
Tb: 0.000 0.500 0.500
Tb: 0.500 0.000 0.500
Tb: 0.500 0.500 0.000
Gd: 0.000 0.000 0.500
Gd: 0.000 0.500 0.000
Gd: 0.500 0.000 0.000
Gd: 0.500 0.500 0.500
Er: 0.250 0.250 0.750
Er: 0.250 0.750 0.250
Er: 0.750 0.250 0.250
Er: 0.750 0.750 0.750



19.
# Tb2Tm

Tb2Tm after structural relaxation (GGA-PBE, OQMD).

Output
space group: Cmcm (63)
volume: 371.2 Å³/cell
formation enthalpy at 0 K: 1.88 kJ per mole of atoms
offset from the most stable computed form: 0.0000 eV/atom

Unit cell a=4.974 b=14.977 c=4.982 alpha=90.00 beta=90.00 gamma=90.00
Fractional positions:
Tb: 0.000 0.083 0.250
Tb: 0.000 0.249 0.750
Tb: 0.000 0.751 0.250
Tb: 0.000 0.917 0.750
Tb: 0.500 0.251 0.250
Tb: 0.500 0.417 0.750
Tb: 0.500 0.583 0.250
Tb: 0.500 0.749 0.750
Tm: 0.000 0.417 0.250
Tm: 0.000 0.583 0.750
Tm: 0.500 0.083 0.750
Tm: 0.500 0.917 0.250



20.
# YCuSbPt

YCuSbPt after structural relaxation (GGA-PBE, OQMD).

Output
space group: F-43m (216)
volume: 318.3 Å³/cell
offset from the most stable computed form: 0.1605 eV/atom

Unit cell a=6.827 b=6.827 c=6.827 alpha=90.00 beta=90.00 gamma=90.00
Fractional positions:
Y: 0.000 0.000 0.000
Y: 0.000 0.500 0.500
Y: 0.500 0.000 0.500
Y: 0.500 0.500 0.000
Cu: 0.000 0.000 0.500
Cu: 0.000 0.500 0.000
Cu: 0.500 0.000 0.000
Cu: 0.500 0.500 0.500
Sb: 0.250 0.250 0.250
Sb: 0.250 0.750 0.750
Sb: 0.750 0.250 0.750
Sb: 0.750 0.750 0.250
Pt: 0.250 0.250 0.750
Pt: 0.250 0.750 0.250
Pt: 0.750 0.250 0.250
Pt: 0.750 0.750 0.750